An optimized crystal structure of In2SnPb6, computed with PBE.

Cell lengths 3.453, 3.453, 26.589 Å; angles 90.00, 90.00, 120.00 degrees
Atoms (fractional coordinates):
Sn (0.333, 0.667, 0.000)
Pb (0.667, 0.333, 0.109)
Pb (0.333, 0.667, 0.222)
Pb (0.667, 0.333, 0.891)
Pb (0.333, 0.667, 0.437)
Pb (0.333, 0.667, 0.778)
Pb (0.333, 0.667, 0.563)
In (0.667, 0.333, 0.331)
In (0.667, 0.333, 0.669)

Distance to the lowest polymorph of the same formula   0 meV per atom
Uncorrected energy   -3.483 eV/atom
Formation enthalpy at 0 K   43 meV/atom

***

An optimized crystal structure of DyCoPb, computed with PBE.

Cell lengths 4.595, 4.595, 4.595 Å; angles 60.00, 60.00, 60.00 degrees
Atoms (fractional coordinates):
Dy (0.500, 0.500, 0.500)
Pb (0.000, 0.000, 0.000)
Co (0.250, 0.250, 0.250)

Uncorrected energy   -5.269 eV/atom
Formation enthalpy at 0 K   -131 meV/atom

***

An optimized crystal structure of DyHoTh4, computed with PBE.

Cell lengths 5.708, 6.982, 9.863 Å; angles 90.00, 90.00, 90.00 degrees
Atoms (fractional coordinates):
Th (0.000, 0.000, 0.667)
Th (0.000, 0.500, 0.667)
Th (0.500, 0.000, 0.834)
Th (0.500, 0.500, 0.166)
Th (0.000, 0.000, 0.333)
Th (0.500, 0.500, 0.834)
Th (0.500, 0.000, 0.166)
Th (0.000, 0.500, 0.333)
Ho (0.000, 0.250, 0.000)
Ho (0.000, 0.750, 0.000)
Dy (0.500, 0.250, 0.500)
Dy (0.500, 0.750, 0.500)

Uncorrected energy   -6.386 eV/atom
Formation enthalpy at 0 K   90 meV/atom

***

An optimized crystal structure of Sm2PuF11, computed with PBE.

Cell lengths 8.303, 8.712, 8.712 Å; angles 74.54, 61.54, 61.54 degrees
Atoms (fractional coordinates):
F (0.125, 0.224, 0.776)
F (0.755, 0.485, 0.817)
F (0.563, 0.206, 0.075)
F (0.437, 0.794, 0.925)
F (0.557, 0.015, 0.683)
F (0.000, 0.000, 0.000)
F (0.937, 0.425, 0.294)
F (0.745, 0.683, 0.015)
F (0.943, 0.817, 0.485)
F (0.443, 0.985, 0.317)
F (0.845, 0.925, 0.794)
F (0.875, 0.776, 0.224)
F (0.625, 0.276, 0.724)
F (0.345, 0.294, 0.425)
F (0.375, 0.724, 0.276)
F (0.063, 0.575, 0.706)
F (0.655, 0.706, 0.575)
F (0.155, 0.075, 0.206)
F (0.255, 0.317, 0.985)
F (0.500, 0.500, 0.500)
F (0.245, 0.515, 0.183)
F (0.057, 0.183, 0.515)
Sm (0.863, 0.182, 0.818)
Sm (0.363, 0.318, 0.682)
Sm (0.637, 0.682, 0.318)
Sm (0.137, 0.818, 0.182)
Pu (0.250, 0.250, 0.250)
Pu (0.750, 0.750, 0.750)

Uncorrected energy   -6.774 eV/atom
Formation energy (no corrections)   -3.606 eV/atom

***

An optimized crystal structure of Li2InFe, computed with PBE.

Cell lengths 9.494, 9.494, 9.494 Å; angles 17.83, 17.83, 17.83 degrees
Atoms (fractional coordinates):
In (0.750, 0.750, 0.750)
Li (0.505, 0.505, 0.505)
Li (0.995, 0.995, 0.995)
Fe (0.250, 0.250, 0.250)

Uncorrected energy   -3.460 eV/atom
Formation enthalpy at 0 K   297 meV/atom

***

An optimized crystal structure of TaCdS2N, computed with PBE.

Cell lengths 4.846, 4.846, 3.972 Å; angles 90.00, 90.00, 90.00 degrees
Atoms (fractional coordinates):
Ta (0.500, 0.500, 0.500)
Cd (0.000, 0.000, 0.000)
N (0.000, 0.000, 0.500)
S (0.000, 0.500, 0.000)
S (0.500, 0.000, 0.000)

Distance to the lowest polymorph of the same formula   1781 meV per atom
Uncorrected energy   -4.305 eV/atom
Formation energy (no corrections)   1.564 eV/atom

***

An optimized crystal structure of Ho2MgS3, computed with PBE.

Cell lengths 8.663, 8.663, 8.663 Å; angles 154.54, 154.54, 36.31 degrees
Atoms (fractional coordinates):
S (0.157, 0.157, 0.000)
S (0.500, 0.500, 0.000)
S (0.843, 0.843, 0.000)
Ho (0.674, 0.674, 0.000)
Ho (0.326, 0.326, 0.000)
Mg (0.000, 0.000, 0.000)

Uncorrected energy   -5.611 eV/atom
Formation energy (no corrections)   -1.755 eV/atom

***

An optimized crystal structure of LiCaYGa, computed with PBE.

Cell lengths 5.184, 5.184, 5.184 Å; angles 60.00, 60.00, 60.00 degrees
Atoms (fractional coordinates):
Li (0.250, 0.250, 0.250)
Ga (0.750, 0.750, 0.750)
Y (0.500, 0.500, 0.500)
Ca (0.000, 0.000, 0.000)

Uncorrected energy   -3.637 eV/atom
Formation enthalpy at 0 K   -285 meV/atom

***

An optimized crystal structure of Ta5Co, computed with PBE.

Cell lengths 4.932, 4.932, 4.962 Å; angles 90.00, 90.00, 120.00 degrees
Atoms (fractional coordinates):
Ta (0.333, 0.667, 0.500)
Ta (0.667, 0.333, 0.500)
Ta (0.000, 0.672, 0.000)
Ta (0.328, 0.328, 0.000)
Ta (0.672, 0.000, 0.000)
Co (0.000, 0.000, 0.500)

Distance to the lowest polymorph of the same formula   313 meV per atom
Uncorrected energy   -10.793 eV/atom
Formation enthalpy at 0 K   269 meV/atom

***

An optimized crystal structure of LaPa2Co, computed with PBE.

Cell lengths 4.179, 4.179, 6.614 Å; angles 71.59, 71.59, 60.00 degrees
Atoms (fractional coordinates):
La (0.000, 0.000, 0.000)
Pa (0.234, 0.234, 0.298)
Pa (0.766, 0.766, 0.702)
Co (0.500, 0.500, 0.500)

Distance to the lowest polymorph of the same formula   187 meV per atom
Uncorrected energy   -7.533 eV/atom
Formation enthalpy at 0 K   223 meV/atom

***

An optimized crystal structure of Th2NpRhN5, computed with PBE.

Cell lengths 3.482, 6.970, 10.749 Å; angles 90.00, 90.00, 104.47 degrees
Atoms (fractional coordinates):
N (0.054, 0.109, 0.070)
N (0.946, 0.891, 0.570)
N (0.722, 0.445, 0.156)
N (0.326, 0.652, 0.373)
N (0.278, 0.555, 0.656)
N (0.364, 0.728, 0.998)
N (0.484, 0.968, 0.771)
N (0.674, 0.348, 0.873)
N (0.636, 0.272, 0.498)
N (0.516, 0.032, 0.271)
Rh (0.475, 0.951, 0.453)
Rh (0.525, 0.049, 0.953)
Th (0.858, 0.717, 0.804)
Th (0.899, 0.798, 0.187)
Th (0.101, 0.202, 0.687)
Th (0.142, 0.283, 0.304)
Np (0.203, 0.405, 0.012)
Np (0.797, 0.595, 0.512)

Uncorrected energy   -9.552 eV/atom
Formation energy (no corrections)   -1.023 eV/atom

***

An optimized crystal structure of DyEr2Tl2Hg2, computed with PBE.

Cell lengths 4.978, 4.978, 9.246 Å; angles 74.38, 74.38, 60.00 degrees
Atoms (fractional coordinates):
Er (0.133, 0.133, 0.602)
Er (0.867, 0.867, 0.398)
Hg (0.436, 0.436, 0.691)
Hg (0.564, 0.564, 0.309)
Dy (0.000, 0.000, 0.000)
Tl (0.273, 0.273, 0.181)
Tl (0.727, 0.727, 0.819)

Uncorrected energy   -2.890 eV/atom
Formation enthalpy at 0 K   -167 meV/atom

***

Which value of uncorrected energy does entry 3 give?
-6.386 eV/atom

***

Which value of uncorrected energy does entry 1 give?
-3.483 eV/atom